BeCd3 | PBE | optimized geometry

Values from the calculation:
Calculated formation energy in eV/atom: 0.422
Symmetry: No. 166
Magnetic moment in μB/f.u.: 0.00
Mass density in Mg/m³: 7.3

```
BeCd3
1.0
4.5766 2.6423 1.0824
-4.5766 2.6423 1.0824
0.0000 -5.2846 1.0824
Be Cd
1 3
Cartesian
0.0000 0.0000 0.0000
-2.2883 -1.3211 1.0824
-2.2883 1.3211 2.1649
0.0000 2.6423 1.0824
```



BeCd | PBE | optimized geometry

Values from the calculation:
Calculated formation energy in eV/atom: 0.605
Symmetry: No. 194
Magnetic moment in μB/f.u.: 0.00
Mass density in Mg/m³: 6.0

```
BeCd
1.0
4.6405 0.0000 0.0000
-2.3203 4.0188 0.0000
0.0000 0.0000 7.1528
Be Cd
4 4
Cartesian
0.0000 2.6792 0.6946
0.0000 2.6792 2.8818
2.3203 1.3396 4.2710
2.3203 1.3396 6.4582
0.0000 0.0000 1.7882
0.0000 0.0000 5.3646
0.0000 2.6792 5.3646
2.3203 1.3396 1.7882
```



BeCd | PBE | optimized geometry

Values from the calculation:
Calculated formation energy in eV/atom: 0.295
Symmetry: No. 87
Magnetic moment in μB/f.u.: 0.00
Mass density in Mg/m³: 6.0

```
BeCd
1.0
-4.2826 4.2826 1.8441
4.2826 -4.2826 1.8441
4.2826 4.2826 -1.8441
Be Cd
4 4
Cartesian
4.9992 0.6966 0.0000
0.6966 3.5659 0.0000
3.5860 0.7166 1.8441
-0.7166 3.5860 1.8441
3.1993 2.5508 0.0000
1.7318 -1.0832 1.8441
2.5508 5.3658 0.0000
1.0832 1.7318 1.8441
```



BeCd | PBE | optimized geometry

Values from the calculation:
Calculated formation energy in eV/atom: 0.354
Symmetry: No. 59
Magnetic moment in μB/f.u.: 0.00
Mass density in Mg/m³: 6.4

```
BeCd
1.0
2.8085 0.0000 0.0000
0.0000 3.4897 0.0000
0.0000 0.0000 6.4512
Be Cd
2 2
Cartesian
0.7021 0.8724 0.0030
2.1064 2.6173 6.4482
0.7021 2.6173 2.1858
2.1064 0.8724 4.2653
```



BeCd3 | PBE | optimized geometry

Values from the calculation:
Calculated formation energy in eV/atom: 0.389
Symmetry: No. 223
Magnetic moment in μB/f.u.: 0.00
Mass density in Mg/m³: 7.4

```
BeCd3
1.0
5.3650 0.0000 0.0000
0.0000 5.3650 0.0000
0.0000 0.0000 5.3650
Be Cd
2 6
Cartesian
0.0000 0.0000 0.0000
2.6825 2.6825 2.6825
0.0000 1.3412 2.6825
0.0000 4.0237 2.6825
1.3412 2.6825 0.0000
2.6825 0.0000 1.3412
2.6825 0.0000 4.0237
4.0237 2.6825 0.0000
```



BeCd3 | PBE | optimized geometry

Values from the calculation:
Calculated formation energy in eV/atom: 0.353
Symmetry: No. 25
Magnetic moment in μB/f.u.: 0.00
Mass density in Mg/m³: 7.6

```
BeCd3
1.0
3.0753 0.0000 0.0000
0.0000 4.8782 0.0000
0.0000 0.0000 5.0445
Be Cd
1 3
Cartesian
0.0000 0.0000 0.0000
0.0000 2.4391 1.5592
1.5377 0.0000 2.5063
1.5377 2.4391 4.1833
```